A relaxed structure of Pm2TiSbO6. Source: the Alexandria database, functional PBE.

Cell lengths 5.406, 5.387, 5.387 Å; angles 90.00, 90.00, 90.00 degrees
Sites, in units of the cell vectors:
Pm1 0.989 0.500 0.000
Pm2 0.989 0.000 0.500
Ti1 0.604 0.000 0.000
Sb1 0.505 0.500 0.500
O1 0.744 0.235 0.235
O2 0.744 0.235 0.765
O3 0.119 0.500 0.500
O4 0.265 0.000 0.000
O5 0.744 0.765 0.765
O6 0.744 0.765 0.235

Properties
theoretical density: 5.9 Mg/m³
symmetry: P4mm, No. 99
raw formation energy: -25.2 eV per formula unit